No. 1
Compound: SrTcS2
Source: Alexandria via LeMat-Bulk
Functional: PBE
Structure: relaxed

Properties
**Distance to the lowest polymorph of the same formula**: 0.000 eV/atom
**SG**: No. 122
**Electronic total energy**: -5.859 eV/atom

Lattice parameters (Å, degrees): 5.7242 5.7242 7.3820 67.19 67.19 90.00
Element x y z (fractional)
Tc (0.0000, 0.0000, 0.0000)
Tc (0.7500, 0.2500, 0.5000)
Sr (0.2500, 0.7500, 0.5000)
Sr (0.5000, 0.5000, 0.0000)
S (0.0320, 0.6250, 0.2500)
S (0.3750, 0.2820, 0.7500)
S (0.8750, 0.9680, 0.7500)
S (0.7180, 0.1250, 0.2500)

No. 2
Compound: La5Tm7
Source: Alexandria via LeMat-Bulk
Functional: PBE
Structure: relaxed

Properties
**SG**: No. 12
**Electronic total energy**: -4.644 eV/atom

Lattice parameters (Å, degrees): 3.6210 9.5227 12.1565 73.99 81.43 79.04
Element x y z (fractional)
La (0.0000, 0.0000, 0.0000)
La (0.6941, 0.3618, 0.2499)
La (0.8356, 0.8324, 0.4965)
La (0.1644, 0.1676, 0.5035)
La (0.3059, 0.6382, 0.7501)
Tm (0.3635, 0.0257, 0.2473)
Tm (0.0268, 0.6977, 0.2488)
Tm (0.3344, 0.3362, 0.9950)
Tm (0.6656, 0.6638, 0.0050)
Tm (0.6365, 0.9743, 0.7527)
Tm (0.5000, 0.5000, 0.5000)
Tm (0.9732, 0.3023, 0.7512)

No. 3
Compound: LaPrYIn
Source: Alexandria via LeMat-Bulk
Functional: PBE
Structure: relaxed

Properties
**Distance to the lowest polymorph of the same formula**: 0.000 eV/atom
**SG**: No. 216
**Electronic total energy**: -4.880 eV/atom

Lattice parameters (Å, degrees): 5.6372 5.6372 5.6372 60.00 60.00 60.00
Element x y z (fractional)
Pr (0.5000, 0.5000, 0.5000)
La (0.0000, 0.0000, 0.0000)
In (0.7500, 0.7500, 0.7500)
Y (0.2500, 0.2500, 0.2500)

No. 4
Compound: K3BaGa
Source: Alexandria via LeMat-Bulk
Functional: PBE
Structure: relaxed

Properties
**Distance to the lowest polymorph of the same formula**: 0.590 eV/atom
**SG**: No. 221
**Electronic total energy**: -0.828 eV/atom

Lattice parameters (Å, degrees): 7.8130 7.8130 7.8130 90.00 90.00 90.00
Element x y z (fractional)
Ba (0.0000, 0.0000, 0.0000)
Ga (0.5000, 0.5000, 0.5000)
K (0.0000, 0.5000, 0.0000)
K (0.5000, 0.0000, 0.0000)
K (0.0000, 0.0000, 0.5000)

No. 5
Compound: LiSe4Br
Source: Alexandria via LeMat-Bulk
Functional: PBE
Structure: relaxed

Properties
**SG**: No. 216
**Electronic total energy**: -2.775 eV/atom

Lattice parameters (Å, degrees): 5.8021 5.8021 5.8021 60.00 60.00 60.00
Element x y z (fractional)
Br (0.7500, 0.7500, 0.7500)
Se (0.3770, 0.8691, 0.3770)
Se (0.3770, 0.3770, 0.8691)
Se (0.8691, 0.3770, 0.3770)
Se (0.3770, 0.3770, 0.3770)
Li (0.0000, 0.0000, 0.0000)

No. 6
Compound: NiMoRh5
Source: Alexandria via LeMat-Bulk
Functional: PBE
Structure: relaxed

Properties
**SG**: No. 74
**Electronic total energy**: -7.436 eV/atom

Lattice parameters (Å, degrees): 6.9655 6.9655 10.5863 40.53 40.53 49.17
Element x y z (fractional)
Rh (0.7047, 0.6958, 0.9199)
Rh (0.2953, 0.3042, 0.0801)
Rh (0.3045, 0.2950, 0.3202)
Rh (0.6958, 0.7047, 0.4199)
Rh (0.3042, 0.2953, 0.5801)
Rh (0.7050, 0.6955, 0.1798)
Rh (0.7929, 0.2071, 0.7500)
Rh (0.6955, 0.7050, 0.6798)
Rh (0.2071, 0.7929, 0.2500)
Rh (0.2950, 0.3045, 0.8202)
Mo (0.2095, 0.7905, 0.7500)
Mo (0.7905, 0.2095, 0.2500)
Ni (0.0000, 0.0000, 0.0000)
Ni (0.0000, 0.0000, 0.5000)